No. 1
Entry from Alexandria: a relaxed structure of LiGePt2S (PBE).

Cell lengths 4.6226, 4.6226, 4.8436 Å; angles 90.00, 90.00, 90.00 degrees
Closest atoms and distances in Å follow each position.
Positions (direct):
Li (0.0000, 0.0000, 0.0000)  2 Ge 2.42
Ge (0.0000, 0.0000, 0.5000)  4 Pt 2.31, 2 Li 2.42
Pt (0.0000, 0.5000, 0.5000)  2 Ge 2.31
Pt (0.5000, 0.0000, 0.5000)  2 Ge 2.31
S (0.5000, 0.5000, 0.0000)  4 Li 3.27, 8 Pt 3.35

Results
Formation energy without anion corrections = 0.46 eV per atom
Theoretical density = 8.05 g/cm³
Space group = P4/mmm (123)
Spin magnetization = 0.00 μB/f.u.

No. 2
Entry from Alexandria: a relaxed structure of Li2Si2GePt5 (PBE).

Cell lengths 9.2820, 9.2820, 3.5866 Å; angles 90.00, 90.00, 90.00 degrees
Closest atoms and distances in Å follow each position.
Positions (direct):
Li (0.1696, 0.3304, 0.0000)  3 Si 2.64-2.80, 2 Pt 2.86
Li (0.3304, 0.8304, 0.0000)  3 Si 2.64-2.80, 2 Pt 2.86
Li (0.6696, 0.1696, 0.0000)  3 Si 2.64-2.80, 2 Pt 2.86
Li (0.8304, 0.6696, 0.0000)  3 Si 2.64-2.80, 2 Pt 2.86
Si (0.1292, 0.6292, 0.0000)  6 Pt 2.43-2.47, 1 Li 2.64
Si (0.3708, 0.1292, 0.0000)  6 Pt 2.43-2.47, 1 Li 2.64
Si (0.6292, 0.8708, 0.0000)  6 Pt 2.43-2.47, 1 Li 2.64
Si (0.8708, 0.3708, 0.0000)  6 Pt 2.43-2.47, 1 Li 2.64
Ge (0.0000, 0.0000, 0.0000)  8 Pt 2.69
Ge (0.5000, 0.5000, 0.0000)  8 Pt 2.69
Pt (0.0000, 0.5000, 0.5000)  4 Si 2.47
Pt (0.0747, 0.7969, 0.5000)  2 Si 2.43, 2 Ge 2.69
Pt (0.2031, 0.0747, 0.5000)  2 Si 2.43, 2 Ge 2.69
Pt (0.2969, 0.5747, 0.5000)  2 Si 2.43, 2 Ge 2.69
Pt (0.4253, 0.2969, 0.5000)  2 Si 2.43, 2 Ge 2.69
Pt (0.5000, 0.0000, 0.5000)  4 Si 2.47
Pt (0.5747, 0.7031, 0.5000)  2 Si 2.43, 2 Ge 2.69
Pt (0.7031, 0.4253, 0.5000)  2 Si 2.43, 2 Ge 2.69
Pt (0.7969, 0.9253, 0.5000)  2 Si 2.43, 2 Ge 2.69
Pt (0.9253, 0.2031, 0.5000)  2 Si 2.43, 2 Ge 2.69

Results
Formation energy without anion corrections = -0.62 eV per atom
Theoretical density = 12.02 g/cm³
Space group = P4/mbm (127)
Spin magnetization = 0.00 μB/f.u.

No. 3
Entry from Alexandria: a relaxed structure of LiSiGePt (PBE).

Cell lengths 4.3850, 4.3850, 4.3850 Å; angles 60.00, 60.00, 60.00 degrees
Closest atoms and distances in Å follow each position.
Positions (direct):
Li (0.0000, 0.0000, 0.0000)  4 Ge 2.69, 4 Si 2.69
Si (0.2500, 0.2500, 0.2500)  4 Li 2.69, 4 Pt 2.69
Ge (0.7500, 0.7500, 0.7500)  4 Li 2.69, 4 Pt 2.69
Pt (0.5000, 0.5000, 0.5000)  4 Ge 2.69, 4 Si 2.69

Results
Formation energy without anion corrections = -0.32 eV per atom
Theoretical density = 8.43 g/cm³
Space group = F-43m (216)
Spin magnetization = 0.00 μB/f.u.

No. 4
Entry from Alexandria: a relaxed structure of LiSm2Ge3Pt4 (PBE).

Cell lengths 4.2731, 4.2731, 10.2756 Å; angles 90.00, 90.00, 90.00 degrees
Closest atoms and distances in Å follow each position.
Positions (direct):
Li (0.0000, 0.0000, 0.0000)  4 Pt 2.51
Sm (0.0000, 0.5000, 0.7526)  6 Ge 3.25-3.32, 8 Pt 3.26-3.36, 2 Li 3.32
Sm (0.5000, 0.0000, 0.2474)  6 Ge 3.25-3.32, 8 Pt 3.26-3.36, 2 Li 3.32
Ge (0.0000, 0.5000, 0.3645)  5 Pt 2.43-2.55
Ge (0.5000, 0.0000, 0.6355)  5 Pt 2.43-2.55
Ge (0.5000, 0.5000, 0.0000)  4 Pt 2.51
Pt (0.0000, 0.0000, 0.5000)  4 Ge 2.55
Pt (0.0000, 0.5000, 0.1285)  3 Ge 2.43-2.51, 2 Li 2.51
Pt (0.5000, 0.0000, 0.8715)  3 Ge 2.43-2.51, 2 Li 2.51
Pt (0.5000, 0.5000, 0.5000)  4 Ge 2.55

Results
E = -5.86 eV/atom
Theoretical density = 11.56 g/cm³
Space group = P-4m2 (115)
Spin magnetization = 0.00 μB/f.u.